No. 1
A plane-wave DFT calculation with GGA-PBE was carried out for crystalline PmYHoCu at its relaxed geometry.

As for the magnetic moment: 0.000 μB/f.u. As for the calculated volume: 107.9 Å³ per cell. The formation energy comes out at -101.3 meV/atom.

The space group is P4mm (No. 99) and the conventional cell measures 3.5146, 3.5146 and 8.7337 Å, with angles of 90.00, 90.00 and 90.00 degrees. Symmetry generates all atoms from Pm at (0.0000, 0.0000, 0.0000), Y at (0.5000, 0.5000, 0.6909), Ho at (0.5000, 0.5000, 0.3046) and Cu at (0.0000, 0.0000, 0.4915).


No. 2
A plane-wave DFT calculation with GGA-PBE was carried out for crystalline LiAgAs at its relaxed geometry.

As for the magnetic moment: 0.000 μB/f.u. As for the calculated volume: 210.4 Å³ per cell. The formation energy comes out at -266.6 meV/atom.

The space group is Pnma (No. 62) and the conventional cell measures 5.8246, 4.3730 and 8.2589 Å, with angles of 90.00, 90.00 and 90.00 degrees. Symmetry generates all atoms from Li at (0.0868, 0.2500, 0.1653), Ag at (0.1755, 0.2500, 0.5113) and As at (0.2317, 0.2500, 0.8319).


No. 3
A plane-wave DFT calculation with GGA-PBE was carried out for crystalline ZrScNi at its relaxed geometry.

As for the magnetic moment: 0.000 μB/f.u. As for the calculated volume: 111.9 Å³ per cell. The formation energy comes out at -238.4 meV/atom.

The space group is I4mm (No. 107) and the conventional cell measures 3.2419, 3.2419 and 10.6501 Å, with angles of 90.00, 90.00 and 90.00 degrees. Symmetry generates all atoms from Zr at (0.0000, 0.0000, 0.0000), Sc at (0.0000, 0.0000, 0.7045) and Ni at (0.0000, 0.0000, 0.3546).


No. 4
A plane-wave DFT calculation with GGA-PBE was carried out for crystalline LiCd2Ag5Hg at its relaxed geometry.

As for the magnetic moment: 0.000 μB/f.u. As for the calculated volume: 674.0 Å³ per cell. The formation energy comes out at -85.9 meV/atom.

The space group is Cmc2_1 (No. 36) and the conventional cell measures 4.0795, 12.7965 and 12.9118 Å, with angles of 90.00, 90.00 and 90.00 degrees. Symmetry generates all atoms from Li at (0.0000, 0.0863, 0.0000), Cd at (0.0000, 0.4173, 0.3243), Cd at (0.0000, 0.4201, 0.9954), Ag at (0.0000, 0.0810, 0.6596), Ag at (0.0000, 0.0821, 0.3273), Ag at (0.0000, 0.2472, 0.1629), Ag at (0.0000, 0.2505, 0.8247), Ag at (0.0000, 0.4169, 0.6602) and Hg at (0.0000, 0.2576, 0.4952).


What is the formula in the second record?
LiAgAs


Look up the calculated volume of the second one.
210.4 Å³ per cell


Repeat the fourth record exactly.
A plane-wave DFT calculation with GGA-PBE was carried out for crystalline LiCd2Ag5Hg at its relaxed geometry.

As for the magnetic moment: 0.000 μB/f.u. As for the calculated volume: 674.0 Å³ per cell. The formation energy comes out at -85.9 meV/atom.

The space group is Cmc2_1 (No. 36) and the conventional cell measures 4.0795, 12.7965 and 12.9118 Å, with angles of 90.00, 90.00 and 90.00 degrees. Symmetry generates all atoms from Li at (0.0000, 0.0863, 0.0000), Cd at (0.0000, 0.4173, 0.3243), Cd at (0.0000, 0.4201, 0.9954), Ag at (0.0000, 0.0810, 0.6596), Ag at (0.0000, 0.0821, 0.3273), Ag at (0.0000, 0.2472, 0.1629), Ag at (0.0000, 0.2505, 0.8247), Ag at (0.0000, 0.4169, 0.6602) and Hg at (0.0000, 0.2576, 0.4952).


Repeat the first record exactly.
A plane-wave DFT calculation with GGA-PBE was carried out for crystalline PmYHoCu at its relaxed geometry.

As for the magnetic moment: 0.000 μB/f.u. As for the calculated volume: 107.9 Å³ per cell. The formation energy comes out at -101.3 meV/atom.

The space group is P4mm (No. 99) and the conventional cell measures 3.5146, 3.5146 and 8.7337 Å, with angles of 90.00, 90.00 and 90.00 degrees. Symmetry generates all atoms from Pm at (0.0000, 0.0000, 0.0000), Y at (0.5000, 0.5000, 0.6909), Ho at (0.5000, 0.5000, 0.3046) and Cu at (0.0000, 0.0000, 0.4915).